# Nd6ZnRh2I3 | the Alexandria database | PBE | relaxed
data_Nd6ZnRh2I3
_chemical_formula_sum 'Nd12 Zn2 Rh4 I6'
_symmetry_space_group_name_H-M 'C 1 2/m 1'
_symmetry_Int_Tables_number 12
_cell_length_a 7.349
_cell_length_b 12.721
_cell_length_c 8.468
_cell_angle_alpha 90.00
_cell_angle_beta 106.82
_cell_angle_gamma 90.00
loop_
_symmetry_equiv_pos_as_xyz
'x,y,z'
'-x,-y,-z'
'-x,y,-z'
'x,-y,z'
'x+1/2,y+1/2,z'
'-x+1/2,-y+1/2,-z'
'-x+1/2,y+1/2,-z'
'x+1/2,-y+1/2,z'
loop_
_atom_site_label
_atom_site_fract_x
_atom_site_fract_y
_atom_site_fract_z
Nd1 0.213 0.000 0.189
Nd2 0.238 0.325 0.190
Zn1 0.000 0.500 0.000
Rh1 0.000 0.167 0.000
I1 0.000 0.000 0.500
I2 0.000 0.336 0.500
# DFT total energy (eV/atom): -4.899
# Formation energy from raw total energies (meV per atom): -796